No. 1
Material: Li4ZnP2O8
Method: DFT, PBE
State: optimized geometry

```
Li4ZnP2O8
1.0
-1.553 7.852 -0.841
-6.110 -2.841 4.432
5.266 1.953 8.513
Li O P Zn
16 32 8 4
Direct
0.595 0.848 0.001 Li
0.521 0.521 0.077 Li
0.979 0.479 0.232 Li
0.905 0.153 0.308 Li
0.409 0.658 0.317 Li
0.652 0.403 0.319 Li
0.152 0.402 0.491 Li
0.909 0.660 0.493 Li
0.405 0.152 0.501 Li
0.479 0.479 0.577 Li
0.021 0.521 0.732 Li
0.095 0.847 0.808 Li
0.591 0.342 0.817 Li
0.348 0.597 0.819 Li
0.848 0.598 0.991 Li
0.091 0.340 0.993 Li
0.377 0.661 0.002 O
0.058 0.554 0.055 O
0.561 0.064 0.059 O
0.243 0.248 0.099 O
0.728 0.726 0.102 O
0.772 0.274 0.208 O
0.257 0.751 0.211 O
0.938 0.936 0.252 O
0.442 0.445 0.255 O
0.124 0.339 0.307 O
0.839 0.621 0.310 O
0.321 0.139 0.320 O
0.633 0.814 0.320 O
0.822 0.139 0.490 O
0.133 0.815 0.490 O
0.339 0.621 0.500 O
0.623 0.339 0.502 O
0.942 0.446 0.555 O
0.439 0.936 0.559 O
0.757 0.752 0.599 O
0.272 0.274 0.602 O
0.228 0.726 0.708 O
0.743 0.249 0.711 O
0.062 0.064 0.752 O
0.558 0.555 0.755 O
0.876 0.661 0.807 O
0.161 0.379 0.810 O
0.679 0.861 0.820 O
0.367 0.186 0.820 O
0.178 0.861 0.990 O
0.867 0.185 0.990 O
0.661 0.379 0.000 O
0.219 0.707 0.063 P
0.715 0.227 0.066 P
0.785 0.773 0.244 P
0.281 0.292 0.246 P
0.781 0.293 0.563 P
0.285 0.773 0.566 P
0.215 0.227 0.744 P
0.719 0.708 0.746 P
0.160 0.911 0.312 Zn
0.661 0.912 0.498 Zn
0.840 0.089 0.812 Zn
0.339 0.088 0.998 Zn
```

Properties
calculated total energy	-6.2333	eV per atom

No. 2
Material: LiZnP3O9
Method: DFT, PBE
State: optimized geometry

```
LiZnP3O9
1.0
8.322 0.000 0.000
0.000 8.483 0.000
0.000 0.000 8.584
Li O P Zn
4 36 12 4
Direct
0.348 0.366 0.115 Li
0.652 0.866 0.385 Li
0.152 0.634 0.615 Li
0.848 0.134 0.885 Li
0.724 0.634 0.042 O
0.107 0.377 0.084 O
0.342 0.634 0.101 O
0.869 0.189 0.119 O
0.587 0.385 0.132 O
0.961 0.769 0.150 O
0.687 0.906 0.156 O
0.379 0.119 0.178 O
0.861 0.464 0.238 O
0.139 0.964 0.262 O
0.621 0.619 0.322 O
0.313 0.406 0.344 O
0.039 0.269 0.350 O
0.413 0.885 0.368 O
0.131 0.689 0.381 O
0.658 0.134 0.399 O
0.893 0.877 0.416 O
0.276 0.134 0.458 O
0.776 0.366 0.542 O
0.393 0.623 0.584 O
0.158 0.366 0.601 O
0.631 0.811 0.619 O
0.913 0.615 0.632 O
0.539 0.231 0.650 O
0.813 0.094 0.656 O
0.121 0.881 0.678 O
0.639 0.536 0.738 O
0.361 0.036 0.762 O
0.879 0.381 0.822 O
0.187 0.594 0.844 O
0.461 0.731 0.850 O
0.087 0.115 0.868 O
0.369 0.311 0.881 O
0.842 0.866 0.899 O
0.607 0.123 0.916 O
0.224 0.866 0.958 O
0.797 0.809 0.057 P
0.972 0.320 0.183 P
0.685 0.521 0.189 P
0.315 0.021 0.311 P
0.028 0.820 0.317 P
0.203 0.309 0.443 P
0.703 0.191 0.557 P
0.528 0.680 0.683 P
0.815 0.479 0.689 P
0.185 0.979 0.811 P
0.472 0.180 0.817 P
0.297 0.691 0.943 P
0.628 0.143 0.158 Zn
0.372 0.643 0.342 Zn
0.872 0.857 0.658 Zn
0.128 0.357 0.842 Zn
```

Properties
calculated total energy	-6.6723	eV per atom

No. 3
Material: LiZnPO
Method: DFT, PBE
State: optimized geometry

```
LiZnPO
1.0
-0.575 -1.686 -3.440
3.817 -0.545 -0.372
-0.556 -5.952 3.009
Li O P Zn
2 2 2 2
Direct
0.000 0.500 0.082 Li
0.500 0.000 0.918 Li
0.000 0.000 0.000 O
0.500 0.500 0.000 O
0.500 0.000 0.277 P
0.000 0.500 0.723 P
0.000 0.000 0.500 Zn
0.500 0.500 0.500 Zn
```

Properties
distance to the lowest polymorph of the same formula	523.0	meV per atom

No. 4
Material: LiZnPO
Method: DFT, PBE
State: optimized geometry

```
LiZnPO
1.0
3.124 0.000 0.000
0.000 6.861 0.000
0.000 0.000 5.072
Li O P Zn
2 2 2 2
Direct
0.500 0.358 0.012 Li
0.500 0.642 0.512 Li
0.500 0.399 0.373 O
0.500 0.601 0.873 O
0.000 0.933 0.401 P
0.000 0.067 0.901 P
0.000 0.264 0.469 Zn
0.000 0.736 0.969 Zn
```

Properties
distance to the lowest polymorph of the same formula	33.4	meV per atom

No. 5
Material: LiZnPO
Method: DFT, PBE
State: optimized geometry

```
LiZnPO
1.0
-0.754 -1.270 -3.579
-2.170 -2.850 1.469
-5.361 3.943 -0.270
Li O P Zn
2 2 2 2
Direct
0.000 0.500 0.086 Li
0.500 0.000 0.914 Li
0.000 0.000 0.000 O
0.500 0.500 0.000 O
0.500 0.000 0.275 P
0.000 0.500 0.725 P
0.000 0.000 0.500 Zn
0.500 0.500 0.500 Zn
```

Properties
distance to the lowest polymorph of the same formula	523.5	meV per atom

No. 6
Material: LiZnPO
Method: DFT, PBE
State: optimized geometry

```
LiZnPO
1.0
-0.273 2.401 2.297
-5.741 1.800 -2.565
-2.262 -3.051 2.921
Li O P Zn
2 2 2 2
Direct
0.000 0.322 0.489 Li
0.000 0.678 0.989 Li
0.500 0.397 0.370 O
0.500 0.603 0.870 O
0.000 0.942 0.415 P
0.000 0.058 0.915 P
0.500 0.680 0.480 Zn
0.500 0.320 0.980 Zn
```

Properties
distance to the lowest polymorph of the same formula	0.0	meV per atom

No. 7
Material: LiZrPO
Method: DFT, PBE
State: optimized geometry

```
LiZrPO
1.0
3.585 0.000 0.000
0.000 3.585 0.000
0.000 0.000 8.558
Li O P Zr
2 2 2 2
Direct
0.500 0.000 0.500 Li
0.000 0.500 0.500 Li
0.500 0.000 0.000 O
0.000 0.500 0.000 O
0.500 0.500 0.303 P
0.000 0.000 0.697 P
0.000 0.000 0.147 Zr
0.500 0.500 0.853 Zr
```

Properties
distance to the lowest polymorph of the same formula	0.0	meV per atom

No. 8
Material: LiZrPO
Method: DFT, PBE
State: optimized geometry

```
LiZrPO
1.0
3.532 0.000 0.000
0.000 6.089 0.000
0.000 0.000 6.197
Li O P Zr
2 2 2 2
Direct
0.000 0.124 0.426 Li
0.000 0.876 0.926 Li
0.500 0.268 0.374 O
0.500 0.732 0.874 O
0.000 0.717 0.344 P
0.000 0.283 0.844 P
0.500 0.471 0.110 Zr
0.500 0.529 0.610 Zr
```

Properties
distance to the lowest polymorph of the same formula	17.6	meV per atom

No. 9
Material: LiZrPO
Method: DFT, PBE
State: optimized geometry

```
LiZrPO
1.0
-1.903 0.160 4.853
1.824 -4.807 0.874
3.785 1.696 1.429
Li O P Zr
2 2 2 2
Direct
0.000 0.500 0.002 Li
0.500 0.000 0.998 Li
0.000 0.000 0.000 O
0.500 0.500 0.000 O
0.500 0.000 0.498 P
0.000 0.500 0.502 P
0.000 0.000 0.500 Zr
0.500 0.500 0.500 Zr
```

Properties
distance to the lowest polymorph of the same formula	165.3	meV per atom

No. 10
Material: LiZrPO
Method: DFT, PBE
State: optimized geometry

```
LiZrPO
1.0
-2.995 -2.672 0.940
3.650 -3.243 2.416
-0.812 2.541 4.636
Li O P Zr
2 2 2 2
Direct
0.500 0.393 0.052 Li
0.500 0.607 0.552 Li
0.500 0.293 0.396 O
0.500 0.707 0.896 O
0.000 0.758 0.401 P
0.000 0.242 0.901 P
0.000 0.233 0.405 Zr
0.000 0.767 0.905 Zr
```

Properties
distance to the lowest polymorph of the same formula	24.1	meV per atom

No. 11
Material: LiPaO3
Method: DFT, PBE
State: optimized geometry

```
LiPaO3
1.0
-2.891 5.008 0.000
2.891 5.008 0.000
0.000 3.339 -4.730
Li O Pa
2 6 2
Direct
0.639 0.639 0.083 Li
0.361 0.361 0.917 Li
0.541 0.239 0.262 O
0.239 0.958 0.262 O
0.958 0.541 0.262 O
0.042 0.459 0.738 O
0.761 0.042 0.738 O
0.459 0.761 0.738 O
0.856 0.856 0.431 Pa
0.144 0.144 0.569 Pa
```

Properties
calculated total energy	-7.7941	eV per atom

No. 12
Material: Li8Pa4O11
Method: DFT, PBE
State: optimized geometry

```
Li8Pa4O11
1.0
-5.315 3.945 10.347
5.531 0.425 -0.091
-1.947 3.478 -3.479
Li O Pa
8 11 4
Direct
0.778 0.519 0.035 Li
0.428 0.932 0.466 Li
0.216 0.747 0.479 Li
0.742 0.729 0.482 Li
0.751 0.263 0.521 Li
0.073 0.065 0.530 Li
0.300 0.310 0.548 Li
0.251 0.502 0.995 Li
0.266 0.882 0.197 O
0.762 0.904 0.220 O
0.631 0.295 0.220 O
0.477 0.688 0.235 O
0.000 0.652 0.288 O
0.475 0.336 0.682 O
0.378 0.778 0.732 O
0.865 0.692 0.775 O
0.741 0.086 0.782 O
0.025 0.299 0.786 O
0.225 0.104 0.786 O
0.423 0.218 0.079 Pa
0.922 0.166 0.084 Pa
0.072 0.765 0.904 Pa
0.579 0.827 0.919 Pa
```

Properties
distance to the lowest polymorph of the same formula	17.1	meV per atom